# Ho5ThAu6 (GGA-PBE, relaxed)
# total magnetic moment: 0.0 μB/cell
# symmetry: Immm, No. 71
# total energy: -0.365 Ry per atom
# energy relative to the elements: -9.69 eV per formula unit
data_Ho5ThAu6
_chemical_formula_sum 'Ho5 Th1 Au6'
_cell_length_a 5.126
_cell_length_b 7.146
_cell_length_c 8.870
_cell_angle_alpha 113.75
_cell_angle_beta 106.79
_cell_angle_gamma 90.00
_symmetry_space_group_name_H-M 'P 1'
_symmetry_Int_Tables_number 1
loop_
_symmetry_equiv_pos_as_xyz
'x,y,z'
loop_
_atom_site_label
_atom_site_type_symbol
_atom_site_fract_x
_atom_site_fract_y
_atom_site_fract_z
Au1 Au 0.831 0.576 0.662
Au2 Au 0.831 0.086 0.662
Au3 Au 0.500 0.737 0.000
Au4 Au 0.500 0.263 0.000
Au5 Au 0.169 0.914 0.338
Au6 Au 0.169 0.424 0.338
Ho1 Ho 0.668 0.168 0.336
Ho2 Ho 0.333 0.333 0.665
Ho3 Ho 0.000 0.500 0.000
Ho4 Ho 0.667 0.667 0.335
Ho5 Ho 0.332 0.832 0.664
Th1 Th 0.000 0.000 0.000